15
Lattice="-5.4154 4.3770 3.8791 -2.3365 -5.4033 -5.3579 4.1100 -5.6092 3.8739" Properties=species:S:1:pos:R:3 comment="Y8Se3S4, relaxed, DFT PBE" formation_energy_uncorrected_ev_per_atom=-1.764 spacegroup="No. 12" pbc="T T T"
Y -3.5037 -3.2640 -1.2122
Y 2.5441 -5.5592 1.6315
Y -2.2138 -0.4542 1.5357
Y 1.2710 -8.3439 -1.0737
Y -0.7707 -5.4533 -3.1155
Y -1.4282 -6.1813 0.8594
Y -0.1382 -3.3715 3.6073
Y -4.9130 1.7084 3.4688
Se -3.8759 -0.5131 -0.7394
Se -0.6527 -0.6161 3.8765
Se -1.8210 -3.3178 1.1976
S -2.7077 2.1885 1.9396
S 2.0550 -2.8046 1.9369
S -1.1683 -2.7016 -2.6790
S 0.0000 0.0000 0.0000

***

10
Lattice="-5.6520 3.7923 -2.9672 -0.1506 -4.7124 -5.7360 -2.8825 -2.5790 2.1945" Properties=species:S:1:pos:R:3 comment="YSe2S2, relaxed, DFT PBE" formation_energy_uncorrected_ev_per_atom=-0.666 spacegroup="No. 127" pbc="T T T"
S -3.8343 1.7363 -2.9958
S -4.7714 -0.0417 -6.3162
S -1.0312 -0.8784 -2.3869
S -1.9684 -2.6564 -5.7073
Y 0.0000 0.0000 0.0000
Y -2.9013 -0.4601 -4.3516
Se -2.9824 -1.3797 -1.0330
Se -2.8718 -3.8606 -3.8033
Se -5.7028 -2.1195 -5.4756
Se -5.8134 0.3615 -2.7053

***

5
Lattice="-1.0094 -3.3794 -3.3511 2.8324 -3.1795 2.3532 -3.8246 -1.4627 2.6271" Properties=species:S:1:pos:R:3 comment="YSe3S, relaxed, DFT PBE" formation_energy_uncorrected_ev_per_atom=-0.381 spacegroup="No. 221" pbc="T T T"
S 0.0000 0.0000 0.0000
Se 1.4162 -1.5897 1.1766
Se -0.5047 -1.6897 -1.6755
Se -1.9123 -0.7313 1.3136
Y -1.0008 -4.0108 0.8146

***

8
Lattice="-3.8820 0.2489 0.8091 -0.8230 -6.8251 -1.8491 0.9432 -4.0158 5.7604" Properties=species:S:1:pos:R:3 comment="Y4ZnSe2S, relaxed, DFT PBE" formation_energy_uncorrected_ev_per_atom=-1.470 spacegroup="No. 10" pbc="T T T"
Zn -2.3525 -3.2881 -0.5200
Se 0.9432 -4.0158 5.7604
Se -1.4694 -1.8835 3.2848
S 0.0601 -5.4204 1.9557
Y -2.3055 -5.9251 0.5167
Y 0.0976 -8.0852 2.9552
Y -1.4563 -4.6669 4.2038
Y -3.8593 -2.5068 1.7653

***

8
Lattice="-1.6329 2.4706 -2.5881 -3.1295 -5.4109 -3.1908 -6.2603 -1.0133 2.9824" Properties=species:S:1:pos:R:3 comment="Y4ZnSeS2, relaxed, DFT PBE" formation_energy_uncorrected_ev_per_atom=-1.513 spacegroup="No. 10" pbc="T T T"
Y -4.7428 -3.1211 -2.9755
Y -7.0200 -4.8691 -0.2191
Y -6.2798 -0.8325 0.1790
Y -4.0026 0.9155 -2.5774
Zn -4.6949 -3.2121 -0.1042
S -6.2603 -1.0133 2.9824
S -3.9466 0.7286 0.1971
Se -2.3812 -1.4702 -2.8895

***

12
Lattice="6.9731 0.0053 0.0030 -3.4802 6.0425 0.0030 -1.1622 -2.0124 6.5162" Properties=species:S:1:pos:R:3 comment="Y6ZnSe2S3, relaxed, DFT PBE" formation_energy_uncorrected_ev_per_atom=-1.650 spacegroup="No. 12" pbc="T T T"
Y 0.0483 4.0337 4.8373
Y -1.1391 1.9778 1.6848
Y -0.0228 -0.0394 4.8204
Y 3.4697 2.0576 4.8373
Y 2.3534 4.0748 1.7017
Y 2.2824 0.0018 1.6848
Se 0.0157 4.0235 0.0030
Se 3.4772 2.0244 0.0030
Zn 0.0000 0.0000 0.0000
S 4.6086 0.0291 3.2610
S 1.1653 2.0177 3.2610
S -2.2780 4.0063 3.2610

***

12
Lattice="-1.5918 -4.2572 -5.2984 4.1283 -2.2519 5.1592 -6.1935 0.0074 3.3864" Properties=species:S:1:pos:R:3 comment="Y6ZnSe3S2, relaxed, DFT PBE" formation_energy_uncorrected_ev_per_atom=-1.626 spacegroup="No. 12" pbc="T T T"
Se -1.8285 -3.2509 1.6235
Se -3.7310 -3.9178 -1.8545
Se 0.0739 -2.5839 5.1016
Y -1.7947 -1.9312 -0.9863
Y -4.0908 -1.6625 2.5564
Y 0.4337 -4.8392 0.6907
Y 0.1200 -1.2600 2.5143
Y -3.7771 -5.2418 0.7328
Y -1.8623 -4.5705 4.2334
Zn 0.0000 0.0000 0.0000
S 0.3176 -3.5878 -1.8075
S 2.2188 -2.9213 1.6683

***

4
Lattice="1.2529 -4.1792 -1.4552 -1.6141 -3.7513 2.1156 -3.0519 -2.7054 -2.1261" Properties=species:S:1:pos:R:3 comment="ZnSeS2, relaxed, DFT PBE" formation_energy_uncorrected_ev_per_atom=0.549 spacegroup="No. 225" pbc="T T T"
Zn 0.0000 0.0000 0.0000
S -2.5598 -7.9769 -1.0992
S -0.8533 -2.6590 -0.3664
Se -1.7065 -5.3179 -0.7328

***

12
Lattice="-1.4190 -2.3615 -6.2033 -1.0105 -3.9278 5.4426 -5.1572 4.3368 0.7641" Properties=species:S:1:pos:R:3 comment="Zn3SeS2, relaxed, DFT PBE" formation_energy_uncorrected_ev_per_atom=-0.770 spacegroup="No. 9" pbc="T T T"
S -3.8293 -1.1514 0.9617
S -1.1838 -3.5708 2.5015
S -3.9647 -0.6265 -2.8854
S -1.3182 -3.0605 -1.3476
Zn -2.3340 0.6478 1.2364
Zn -4.9861 3.0979 -0.4759
Zn -6.1909 0.1619 -2.6512
Zn -3.4134 -2.7691 2.6374
Zn -3.5028 -2.1661 -1.1547
Zn -6.0135 -0.2579 1.1624
Se -1.4493 -2.5400 -5.2186
Se -3.6888 -1.6720 4.8323

***

8
Lattice="-3.1994 0.5380 3.9654 -3.6030 -2.5966 -2.5547 -1.0574 -6.9296 3.3969" Properties=species:S:1:pos:R:3 comment="ZnSeS2, relaxed, DFT PBE" formation_energy_uncorrected_ev_per_atom=0.116 spacegroup="No. 122" pbc="T T T"
Se -3.8290 -3.7104 4.0339
Se 0.0000 0.0000 0.0000
Zn -4.0308 -5.2777 0.7738
Zn -3.4012 -1.0293 0.7054
S -3.3822 -5.9968 3.0496
S -6.7069 -6.9709 3.8092
S -2.6803 -1.7264 2.9662
S -2.9501 -3.2823 -0.2096

***

10
Lattice="14.0452 0.0049 0.0000 12.9657 5.3998 0.0000 -13.5054 -2.7024 2.7509" Properties=species:S:1:pos:R:3 comment="Zn5SeS4, relaxed, DFT PBE" formation_energy_uncorrected_ev_per_atom=-0.784 spacegroup="No. 119" pbc="T T T"
Zn 13.5054 2.7024 0.0000
Zn 8.2194 1.6447 0.0000
Zn 24.3717 4.8767 0.0000
Zn 2.6392 0.5281 0.0000
Zn 18.7914 3.7601 0.0000
S 9.8128 0.5608 1.3755
S 4.2324 -0.5558 1.3755
S 1.0497 1.6128 1.3755
S 11.9159 3.7871 1.3755
Se 6.4828 2.6999 1.3755

***

6
Lattice="4.0300 -0.0500 0.6318 1.9683 3.5170 0.6318 1.9789 1.1438 10.9994" Properties=species:S:1:pos:R:3 comment="ZnSeS, relaxed, DFT PBE" formation_energy_uncorrected_ev_per_atom=-0.244 spacegroup="No. 12" pbc="T T T"
Se 6.1835 3.5740 2.9771
Se 1.7936 1.0367 9.2859
Zn 4.0815 2.3590 3.1911
Zn 3.8957 2.2516 9.0720
S 3.3247 1.9217 5.5299
S 4.6524 2.6890 6.7332

***

4
Lattice="2.0916 0.0000 7.4197 -1.0458 1.8114 7.4197 -1.0458 -1.8114 7.4197" Properties=species:S:1:pos:R:3 comment="ZnSeS2, relaxed, DFT PBE" formation_energy_uncorrected_ev_per_atom=-0.037 spacegroup="No. 166" pbc="T T T"
S 0.0000 0.0000 19.9021
S 0.0000 0.0000 2.3568
Zn 0.0000 0.0000 11.1295
Se 0.0000 0.0000 0.0000

***

4
Lattice="-2.4826 3.2177 -0.6111 -1.0565 -1.8842 -5.6287 -1.5240 -3.5245 1.4659" Properties=species:S:1:pos:R:3 comment="Zn2SeS, relaxed, DFT PBE" formation_energy_uncorrected_ev_per_atom=-0.561 spacegroup="No. 38" pbc="T T T"
Zn -1.7225 -2.1214 1.0335
Zn -2.5728 -0.8124 -2.4740
S -2.2533 -3.0604 -1.7814
Se -2.0419 0.1252 0.3413

***

6
Lattice="-1.6625 1.2443 3.3753 -2.1572 -2.4962 2.1696 11.3901 0.9250 6.8747" Properties=species:S:1:pos:R:3 comment="ZnSeS, relaxed, DFT PBE" formation_energy_uncorrected_ev_per_atom=-0.353 spacegroup="No. 2" pbc="T T T"
Zn 8.0014 0.3691 10.0519
Zn -0.4311 -0.6959 2.3677
Se 3.7918 -0.9662 7.0893
Se 3.7785 0.6393 5.3303
S 8.8517 0.9233 7.9412
S -1.2813 -1.2501 4.4783

***

20
Lattice="-3.4471 1.4065 -1.4894 2.4599 -2.1495 -2.3253 -15.2989 -27.6085 9.3365" Properties=species:S:1:pos:R:3 comment="Zn5Se4S, relaxed, DFT PBE" formation_energy_uncorrected_ev_per_atom=-0.720 spacegroup="No. 156" pbc="T T T"
Zn -9.4739 -14.2082 3.1116
Zn -15.6902 -25.4261 6.9052
Zn -3.3740 -3.2003 -0.6110
Zn -12.5820 -19.8172 5.0084
Zn -2.9655 -7.2017 0.0627
Zn -12.1682 -23.8090 5.6788
Zn 0.0198 -1.8145 -1.7591
Zn -5.9496 -12.5868 1.8838
Zn -9.0592 -18.1985 3.7815
Zn -6.3620 -8.5924 1.2125
Se -4.5322 -5.2904 0.0958
Se -10.6293 -16.2932 3.8167
Se -7.5207 -10.6835 1.9196
Se -7.1057 -14.6732 2.5893
Se -13.3224 -25.8918 6.3832
Se -13.7371 -21.9016 5.7133
Se -10.2142 -20.2827 4.4864
Se -1.5458 0.0988 -1.7267
S -1.0780 -3.7955 -1.0892
S -4.0651 -9.1861 0.7338

***

4
Lattice="-6.1560 -1.1135 2.7941 -4.0121 -4.3754 3.4209 -3.5284 -1.2150 5.7461" Properties=species:S:1:pos:R:3 comment="Zn2SeS, relaxed, DFT PBE" formation_energy_uncorrected_ev_per_atom=-0.746 spacegroup="No. 160" pbc="T T T"
S -1.7173 -0.8406 1.4997
Zn -6.7984 -3.3276 5.9370
Zn -0.0523 -0.0256 0.0456
Se -8.5526 -4.1862 7.4690

***

5
Lattice="-1.4445 -4.1574 2.0877 3.0406 -2.4982 -2.8710 3.5210 0.4518 3.3358" Properties=species:S:1:pos:R:3 comment="ZnSe3S, relaxed, DFT PBE" formation_energy_uncorrected_ev_per_atom=0.783 spacegroup="No. 221" pbc="T T T"
Se 1.5203 -1.2491 -1.4355
Se 1.7605 0.2259 1.6679
Se -0.7222 -2.0787 1.0439
Zn 0.0000 0.0000 0.0000
S 2.5586 -3.1019 1.2763

***

4
Lattice="-0.8227 -3.6315 1.3281 3.0939 0.1963 2.4532 -3.2783 2.1906 3.9593" Properties=species:S:1:pos:R:3 comment="Zn2SeS, relaxed, DFT PBE" formation_energy_uncorrected_ev_per_atom=-0.750 spacegroup="No. 115" pbc="T T T"
Zn 0.7706 0.6169 2.1642
Zn -2.9133 -0.1439 3.6857
S 1.1356 -1.7176 1.8906
Se -1.6392 1.0953 1.9796

***

10
Lattice="16.5706 0.0038 0.0022 16.0827 3.9914 0.0022 16.0827 1.9677 3.4726" Properties=species:S:1:pos:R:3 comment="Zn5Se4S, relaxed, DFT PBE" formation_energy_uncorrected_ev_per_atom=-0.721 spacegroup="No. 160" pbc="T T T"
Se 36.5325 4.4698 2.6064
Se 26.8837 3.2893 1.9180
Se 7.3395 0.8980 0.5236
Se 16.9873 2.0784 1.2119
Zn 19.4443 2.3790 1.3872
Zn 48.6269 5.9496 3.4693
Zn 29.3462 3.5905 2.0937
Zn 38.9873 4.7701 2.7815
Zn 9.7956 1.1985 0.6989
S 46.2884 5.6634 3.3024

***

5
Lattice="-4.2484 1.2016 -2.0482 -0.7811 -4.6715 -1.1204 -2.2425 -0.6492 4.2705" Properties=species:S:1:pos:R:3 comment="ZnSe3S, relaxed, DFT PBE" formation_energy_uncorrected_ev_per_atom=0.570 spacegroup="No. 221" pbc="T T T"
Zn -3.6360 -2.0596 0.5510
Se -2.1242 0.6008 -1.0241
Se -1.1213 -0.3246 2.1353
Se -0.3905 -2.3357 -0.5602
S 0.0000 0.0000 0.0000

***

4
Lattice="-0.8065 2.7300 3.6536 -3.2777 -1.1430 3.0663 1.1926 -1.4053 4.2491" Properties=species:S:1:pos:R:3 comment="Zn2SeS, relaxed, DFT PBE" formation_energy_uncorrected_ev_per_atom=0.156 spacegroup="No. 225" pbc="T T T"
Se -1.4458 0.0908 5.4845
Zn -2.1687 0.1362 8.2267
Zn -0.7229 0.0454 2.7422
S 0.0000 0.0000 0.0000

***

5
Lattice="-1.3441 -0.7321 4.5227 4.2545 -1.9482 0.9491 1.6999 4.2971 1.2008" Properties=species:S:1:pos:R:3 comment="ZnSeS3, relaxed, DFT PBE" formation_energy_uncorrected_ev_per_atom=0.689 spacegroup="No. 221" pbc="T T T"
S 0.8500 2.1486 0.6004
S 2.1272 -0.9741 0.4745
S -0.6721 -0.3660 2.2613
Se 0.0000 0.0000 0.0000
Zn 2.3051 0.8084 3.3362

***

20
Lattice="3.8867 0.0000 0.0000 -1.9433 3.3660 0.0000 0.0000 0.0000 31.8920" Properties=species:S:1:pos:R:3 comment="Zn5SeS4, relaxed, DFT PBE" formation_energy_uncorrected_ev_per_atom=-0.778 spacegroup="No. 156" pbc="T T T"
Zn 1.9433 1.1220 4.0233
Zn 1.9433 1.1220 29.3644
Zn 1.9433 1.1220 16.8225
Zn 1.9433 1.1220 23.0941
Zn 1.9433 1.1220 10.5620
Zn 0.0000 2.2440 13.6863
Zn 0.0000 2.2440 7.1403
Zn 0.0000 2.2440 26.2295
Zn 0.0000 2.2440 19.9585
Zn 0.0000 2.2440 0.6013
S 0.0000 2.2440 16.0520
S 1.9433 1.1220 31.7296
S 1.9433 1.1220 25.4589
S 0.0000 2.2440 28.5942
S 1.9433 1.1220 12.9163
S 1.9433 1.1220 19.1876
S 0.0000 2.2440 22.3237
S 1.9433 1.1220 6.3767
Se 0.0000 2.2440 3.0844
Se 0.0000 2.2440 9.6235